1.
This record from Alexandria describes a relaxed TaIOF2 crystal. The functional is GGA-PBE.

Its polymorph energy (0 for the lowest one) is 0 meV/atom. The crystal system is tetragonal. The calculation puts the formation energy without anion corrections at -1648 meV/atom.

The space group is P4/mmm (No. 123) and the conventional cell measures 4.389, 4.389 and 3.952 Å, with angles of 90.00, 90.00 and 90.00 degrees. The distinct sites, in fractional coordinates, are Ta at (0.000, 0.000, 0.000), I at (0.500, 0.500, 0.500), O at (0.000, 0.000, 0.500) and F at (0.000, 0.500, 0.000).



2.
This record from Alexandria describes a relaxed KZn2AuO crystal. The functional is GGA-PBE.

The crystal system is tetragonal. The calculation puts the formation energy without anion corrections at -267 meV/atom.

The space group is P4/mmm (No. 123) and the conventional cell measures 4.318, 4.318 and 5.195 Å, with angles of 90.00, 90.00 and 90.00 degrees. The distinct sites, in fractional coordinates, are K at (0.000, 0.000, 0.000), Zn at (0.000, 0.500, 0.500), Au at (0.500, 0.500, 0.000) and O at (0.000, 0.000, 0.500).



3.
This record from Alexandria describes a relaxed Sc7Ga2Pd2 crystal. The functional is GGA-PBE.

Its formation energy is -0.329 eV per atom. The crystal system is orthorhombic.

The space group is Cmmm (No. 65) and the conventional cell measures 7.356, 10.152 and 6.642 Å, with angles of 90.00, 90.00 and 90.00 degrees. The distinct sites, in fractional coordinates, are Sc at (0.000, 0.000, 0.000), Sc at (0.000, 0.500, 0.262), Sc at (0.250, 0.250, 0.269), Ga at (0.173, 0.000, 0.500) and Pd at (0.000, 0.290, 0.000).